No. 1
First-principles (PBE-GGA) data for a relaxed structure of AgN2Cl4, as listed in Alexandria.

a b c (Å): 3.7251 4.3042 13.6676
angles (deg): 82.57 87.60 64.73
Last column: nearest neighbours and their distance in Å.
Space group P-1 (No. 2)
Asymmetric unit:
Ag 0.0000 0.0000 0.0000 [1 per cell]  4 Cl 2.51-2.52
N 0.2389 0.7376 0.5953 [2 per cell]  1 Cl 1.59
Cl 0.2972 0.9100 0.6861 [2 per cell]  1 N 1.59
Cl 0.3781 0.2785 0.8947 [2 per cell]  2 Ag 2.51-2.52

## Properties
total magnetic moment: 3.09 μB per formula unit
formation energy from raw total energies: 727 meV/atom
calculated density: 2.35 Mg/m³

=====

No. 2
First-principles (PBE-GGA) data for a relaxed structure of HfGa2Pd6, as listed in Alexandria.

a b c (Å): 4.5023 9.6031 13.1183
angles (deg): 90.00 90.00 90.00
Last column: nearest neighbours and their distance in Å.
Space group Fmmm (No. 69)
Asymmetric unit:
Hf 0.0000 0.0000 0.0000 [4 per cell]  8 Pd 2.68-2.73
Ga 0.0000 0.0000 0.3390 [8 per cell]  8 Pd 2.62-2.68
Pd 0.0000 0.1511 0.1716 [16 per cell]  3 Ga 2.63-2.68, 1 Hf 2.68, 5 Pd 2.80-2.95
Pd 0.0000 0.1611 0.5000 [8 per cell]  2 Ga 2.62, 2 Hf 2.73, 4 Pd 2.83-2.88

## Properties
total magnetic moment: 0.00 μB per formula unit
raw total energy: -0.4316 Ry/atom
calculated density: 11.20 Mg/m³